Computed, not measured: a geometry-optimized Na2SrTl9 structure at the GGA-PBE level of DFT.

Summary:
Energy of formation from the pure elements = -126 meV/atom

Cell lengths 4.932, 4.932, 14.667 Å; angles 90.00, 90.00, 90.00 degrees
Positions (direct):
Tl1 0.500 0.500 0.333
Na1 0.000 0.000 0.335
Tl2 0.000 0.500 0.173
Tl3 0.500 0.000 0.173
Tl4 0.500 0.000 0.500
Sr1 0.000 0.000 0.000
Tl5 0.500 0.000 0.827
Na2 0.000 0.000 0.665
Tl6 0.500 0.500 0.667
Tl7 0.500 0.500 0.000
Tl8 0.000 0.500 0.500
Tl9 0.000 0.500 0.827